1.
# PBE-GGA ZrFeCl2, optimized geometry
data_ZrFeCl2
_chemical_formula_sum 'Zr1 Fe1 Cl2'
_space_group_name_H-M_alt 'P 1'
_space_group_IT_number 1
_space_group_name_Hall 'P 1'
_cell_length_a 4.430
_cell_length_b 4.430
_cell_length_c 4.430
_cell_angle_alpha 60.00
_cell_angle_beta 60.00
_cell_angle_gamma 60.00
loop_
_atom_site_label
_atom_site_type_symbol
_atom_site_fract_x
_atom_site_fract_y
_atom_site_fract_z
_atom_site_occupancy
Zr1 Zr 0.000 0.000 0.000 1
Fe1 Fe 0.500 0.500 0.500 1
Cl1 Cl 0.250 0.250 0.250 1
Cl2 Cl 0.750 0.750 0.750 1
# Energy above the lowest structure with this stoichiometry (meV per atom): 879
# Fermi-level density of states (states/eV/atom): 1.68
# Formation energy (no corrections) (eV per atom): 0.158

***

2.
# PBE-GGA Zr4FeCl2, optimized geometry
data_Zr4FeCl2
_chemical_formula_sum 'Zr4 Fe1 Cl2'
_space_group_name_H-M_alt 'P 1'
_space_group_IT_number 1
_space_group_name_Hall 'P 1'
_cell_length_a 7.298
_cell_length_b 7.298
_cell_length_c 7.298
_cell_angle_alpha 140.57
_cell_angle_beta 140.57
_cell_angle_gamma 56.99
loop_
_atom_site_label
_atom_site_type_symbol
_atom_site_fract_x
_atom_site_fract_y
_atom_site_fract_z
_atom_site_occupancy
Zr1 Zr 0.000 0.500 0.500 1
Zr2 Zr 0.193 0.193 0.000 1
Zr3 Zr 0.500 0.000 0.500 1
Zr4 Zr 0.807 0.807 0.000 1
Fe1 Fe 0.000 0.000 0.000 1
Cl1 Cl 0.393 0.393 0.000 1
Cl2 Cl 0.607 0.607 0.000 1
# Fermi-level density of states (states/eV/atom): 0.89
# Formation energy (no corrections) (eV per atom): -0.052

***

3.
# PBE-GGA ZrFeCl2, optimized geometry
data_ZrFeCl2
_chemical_formula_sum 'Zr1 Fe1 Cl2'
_space_group_name_H-M_alt 'P 1'
_space_group_IT_number 1
_space_group_name_Hall 'P 1'
_cell_length_a 4.721
_cell_length_b 4.721
_cell_length_c 4.721
_cell_angle_alpha 60.00
_cell_angle_beta 60.00
_cell_angle_gamma 60.00
loop_
_atom_site_label
_atom_site_type_symbol
_atom_site_fract_x
_atom_site_fract_y
_atom_site_fract_z
_atom_site_occupancy
Zr1 Zr 0.000 0.000 0.000 1
Fe1 Fe 0.250 0.250 0.250 1
Cl1 Cl 0.500 0.500 0.500 1
Cl2 Cl 0.750 0.750 0.750 1
# Energy above the lowest structure with this stoichiometry (meV per atom): 835
# Fermi-level density of states (states/eV/atom): 0.65
# Formation energy (no corrections) (eV per atom): 0.114

***

- Look up the Fermi-level density of states of the first one.
  1.68 states/eV/atom

***

- What is the formation energy (no corrections) in the third record?
  0.114 eV per atom

***

- Look up the formation energy (no corrections) of the second one.
  -0.052 eV per atom